Entry 1:
Computed, not measured: a relaxed Be2NiCl crystal at the PBE level of DFT.

a b c (Å): 2.967 3.114 7.239
angles (deg): 87.34 90.00 90.00
Sites, in units of the cell vectors:
Ni 0.500 0.767 0.968
Be 0.000 0.270 0.944
Be 0.500 0.241 0.202
Cl 0.000 0.222 0.386

Output
Space-group type ... No. 6
Polymorph energy (0 for the lowest one) ... 0 meV/atom

***

Entry 2:
Computed, not measured: a relaxed PrNd5Tm5 crystal at the PBE level of DFT.

a b c (Å): 5.987 9.953 7.043
angles (deg): 110.54 90.00 107.50
Sites, in units of the cell vectors:
Pr 0.000 0.000 0.000
Nd 0.823 0.646 0.067
Nd 0.823 0.646 0.578
Nd 0.500 0.000 0.000
Nd 0.177 0.354 0.422
Nd 0.177 0.354 0.933
Tm 0.669 0.339 0.171
Tm 0.622 0.244 0.623
Tm 0.000 0.000 0.500
Tm 0.378 0.756 0.377
Tm 0.331 0.661 0.829

Output
Space-group type ... No. 12

***

Entry 3:
Computed, not measured: a relaxed TlP2Br crystal at the PBE level of DFT.

a b c (Å): 4.312 4.432 7.913
angles (deg): 74.19 81.82 90.08
Sites, in units of the cell vectors:
Tl 0.886 0.409 0.389
P 0.450 0.656 0.897
P 0.832 0.744 0.730
Br 0.431 0.978 0.250

Output
Space-group type ... No. 1
Polymorph energy (0 for the lowest one) ... 155 meV/atom

***

Entry 4:
Computed, not measured: a relaxed Pt2WSe crystal at the PBE level of DFT.

a b c (Å): 6.330 6.330 6.330
angles (deg): 154.70 137.99 49.67
Sites, in units of the cell vectors:
Pt 0.961 0.961 0.000
Pt 0.204 0.704 0.500
Se 0.564 0.564 0.000
W 0.770 0.270 0.500

Output
Space-group type ... No. 44

***

Entry 5:
Computed, not measured: a relaxed La8Pr3Ho2 crystal at the PBE level of DFT.

a b c (Å): 5.950 7.761 11.065
angles (deg): 110.53 90.05 90.00
Sites, in units of the cell vectors:
La 0.002 0.676 0.352
La 0.998 0.324 0.648
La 0.999 0.136 0.273
La 0.001 0.864 0.727
La 0.500 0.598 0.786
La 0.500 0.188 0.786
La 0.500 0.812 0.214
La 0.500 0.402 0.214
Pr 0.500 0.000 0.000
Pr 0.000 0.283 0.000
Pr 0.000 0.717 0.000
Ho 0.498 0.242 0.484
Ho 0.502 0.758 0.516

Output
Space-group type ... No. 12
Polymorph energy (0 for the lowest one) ... 44 meV/atom

***

Entry 6:
Computed, not measured: a relaxed Tl2Te5Au crystal at the PBE level of DFT.

a b c (Å): 8.512 6.771 7.115
angles (deg): 105.99 127.84 90.67
Sites, in units of the cell vectors:
Tl 0.385 0.911 0.628
Tl 0.812 0.193 0.540
Te 0.819 0.295 0.108
Te 0.319 0.201 0.049
Te 0.802 0.794 0.109
Te 0.125 0.712 0.828
Te 0.483 0.648 0.233
Au 0.032 0.022 0.059

Output
Space-group type ... No. 1

***

Entry 7:
Computed, not measured: a relaxed FeCu2Ni2 crystal at the PBE level of DFT.

a b c (Å): 6.754 6.754 2.644
angles (deg): 90.00 90.00 90.00
Sites, in units of the cell vectors:
Ni 0.372 0.872 0.000
Ni 0.872 0.628 0.000
Ni 0.628 0.128 0.000
Ni 0.128 0.372 0.000
Fe 0.000 0.000 0.000
Fe 0.500 0.500 0.000
Cu 0.169 0.669 0.500
Cu 0.669 0.831 0.500
Cu 0.831 0.331 0.500
Cu 0.331 0.169 0.500

Output
Space-group type ... No. 127
Polymorph energy (0 for the lowest one) ... 0 meV/atom

***

Entry 8:
Computed, not measured: a relaxed Rb2MgRhI6 crystal at the PBE level of DFT.

a b c (Å): 8.119 8.119 8.112
angles (deg): 59.97 59.97 90.00
Sites, in units of the cell vectors:
I 0.241 0.241 0.517
I 0.759 0.759 0.483
I 0.241 0.241 0.000
I 0.759 0.759 0.000
I 0.759 0.241 0.000
I 0.241 0.759 0.000
Mg 0.500 0.500 0.000
Rh 0.000 0.000 0.000
Rb 0.750 0.250 0.500
Rb 0.250 0.750 0.500

Output
Space-group type ... No. 139

***

Entry 9:
Computed, not measured: a relaxed CaDy2Te4 crystal at the PBE level of DFT.

a b c (Å): 4.405 7.536 7.753
angles (deg): 72.22 90.00 90.00
Sites, in units of the cell vectors:
Ca 0.000 0.500 0.500
Dy 0.000 0.000 0.000
Dy 0.500 0.500 0.000
Te 0.500 0.761 0.245
Te 0.000 0.255 0.238
Te 0.500 0.239 0.755
Te 0.000 0.745 0.762

Output
Space-group type ... No. 10
Polymorph energy (0 for the lowest one) ... 0 meV/atom

***

Entry 10:
Computed, not measured: a relaxed Ce4Bi2PtN2 crystal at the PBE level of DFT.

a b c (Å): 4.082 7.388 8.207
angles (deg): 111.07 104.40 90.00
Sites, in units of the cell vectors:
Ce 0.213 0.157 0.427
Ce 0.787 0.843 0.573
Ce 0.538 0.767 0.076
Ce 0.462 0.233 0.924
Bi 0.132 0.526 0.263
Bi 0.868 0.474 0.737
Pt 0.000 0.000 0.000
N 0.679 0.985 0.358
N 0.321 0.015 0.642

Output
Space-group type ... No. 12

***

Entry 11:
Computed, not measured: a relaxed Hf2Ti3Pb crystal at the PBE level of DFT.

a b c (Å): 4.145 4.224 7.182
angles (deg): 90.00 106.77 90.00
Sites, in units of the cell vectors:
Hf 0.169 0.500 0.338
Hf 0.831 0.500 0.662
Ti 0.324 0.000 0.648
Ti 0.676 0.000 0.352
Ti 0.500 0.500 0.000
Pb 0.000 0.000 0.000

Output
Space-group type ... No. 65
Polymorph energy (0 for the lowest one) ... 0 meV/atom

***

Entry 12:
Computed, not measured: a relaxed CrGa2Rh crystal at the PBE level of DFT.

a b c (Å): 3.041 3.041 6.057
angles (deg): 90.00 90.00 90.00
Sites, in units of the cell vectors:
Cr 0.500 0.500 0.500
Rh 0.500 0.500 0.000
Ga 0.000 0.000 0.752
Ga 0.000 0.000 0.248

Output
Space-group type ... No. 123

***

Entry 13:
Computed, not measured: a relaxed BCl2F crystal at the PBE level of DFT.

a b c (Å): 4.184 4.184 4.184
angles (deg): 60.00 60.00 60.00
Sites, in units of the cell vectors:
B 0.000 0.000 0.000
F 0.500 0.500 0.500
Cl 0.250 0.250 0.250
Cl 0.750 0.750 0.750

Output
Space-group type ... No. 225
Polymorph energy (0 for the lowest one) ... 2517 meV/atom

***

Entry 14:
Computed, not measured: a relaxed SmY4Te5 crystal at the PBE level of DFT.

a b c (Å): 4.353 4.353 16.020
angles (deg): 97.81 97.81 90.00
Sites, in units of the cell vectors:
Sm 0.000 0.000 0.000
Y 0.405 0.405 0.811
Y 0.792 0.792 0.583
Y 0.208 0.208 0.417
Y 0.595 0.595 0.189
Te 0.104 0.104 0.208
Te 0.500 0.500 0.000
Te 0.896 0.896 0.792
Te 0.306 0.306 0.611
Te 0.694 0.694 0.389

Output
Space-group type ... No. 139

***

Entry 15:
Computed, not measured: a relaxed YPuS2N crystal at the PBE level of DFT.

a b c (Å): 3.826 3.826 13.776
angles (deg): 90.00 90.00 90.00
Sites, in units of the cell vectors:
Y 0.500 0.000 0.123
Y 0.000 0.500 0.877
Pu 0.500 0.000 0.584
Pu 0.000 0.500 0.416
S 0.000 0.500 0.690
S 0.000 0.500 0.092
S 0.500 0.000 0.908
S 0.500 0.000 0.310
N 0.000 0.000 0.500
N 0.500 0.500 0.500

Output
Space-group type ... No. 129

***

Entry 16:
Computed, not measured: a relaxed Pu3B2RuRh9 crystal at the PBE level of DFT.

a b c (Å): 5.767 5.767 8.698
angles (deg): 90.00 90.00 120.00
Sites, in units of the cell vectors:
Pu 0.333 0.667 0.626
Pu 0.000 0.000 0.000
Pu 0.667 0.333 0.374
B 0.333 0.667 0.144
B 0.667 0.333 0.856
Ru 0.000 0.000 0.500
Rh 0.835 0.165 0.721
Rh 0.835 0.670 0.721
Rh 0.330 0.165 0.721
Rh 0.670 0.835 0.279
Rh 0.165 0.330 0.279
Rh 0.165 0.835 0.279
Rh 0.500 0.000 0.000
Rh 0.000 0.500 0.000
Rh 0.500 0.500 0.000

Output
Space-group type ... No. 164

***

Entry 17:
Computed, not measured: a relaxed InMo2As crystal at the PBE level of DFT.

a b c (Å): 4.567 4.567 4.567
angles (deg): 60.00 60.00 60.00
Sites, in units of the cell vectors:
Mo 0.250 0.250 0.250
Mo 0.750 0.750 0.750
As 0.000 0.000 0.000
In 0.500 0.500 0.500

Output
Space-group type ... No. 225
Polymorph energy (0 for the lowest one) ... 388 meV/atom

***

Entry 18:
Computed, not measured: a relaxed NbSnAu2 crystal at the PBE level of DFT.

a b c (Å): 3.074 3.074 9.893
angles (deg): 81.06 81.06 60.00
Sites, in units of the cell vectors:
Nb 0.000 0.000 0.000
Au 0.745 0.745 0.765
Au 0.255 0.255 0.235
Sn 0.500 0.500 0.500

Output
Space-group type ... No. 166

***

Entry 19:
Computed, not measured: a relaxed KLiTa crystal at the PBE level of DFT.

a b c (Å): 8.593 8.593 8.593
angles (deg): 160.42 160.42 27.83
Sites, in units of the cell vectors:
K 0.002 0.002 0.000
Li 0.310 0.310 0.000
Ta 0.687 0.687 0.000

Output
Space-group type ... No. 107
Polymorph energy (0 for the lowest one) ... 70 meV/atom

***

Entry 20:
Computed, not measured: a relaxed PrErSc2 crystal at the PBE level of DFT.

a b c (Å): 4.664 4.955 4.955
angles (deg): 90.00 90.00 90.00
Sites, in units of the cell vectors:
Pr 0.500 0.000 0.000
Sc 0.000 0.000 0.500
Sc 0.000 0.500 0.000
Er 0.500 0.500 0.500

Output
Space-group type ... No. 123
Polymorph energy (0 for the lowest one) ... 5 meV/atom

***

Entry 21:
Computed, not measured: a relaxed Ho4In5Ge2 crystal at the PBE level of DFT.

a b c (Å): 3.955 7.671 9.072
angles (deg): 94.46 90.00 90.00
Sites, in units of the cell vectors:
Ho 0.500 0.778 0.578
Ho 0.500 0.199 0.854
Ho 0.500 0.222 0.422
Ho 0.500 0.801 0.146
In 0.000 0.533 0.335
In 0.000 0.150 0.135
In 0.000 0.500 0.000
In 0.000 0.850 0.865
In 0.000 0.467 0.665
Ge 0.000 0.087 0.628
Ge 0.000 0.913 0.372

Output
Space-group type ... No. 10

***

Entry 22:
Computed, not measured: a relaxed Rb2CdGaI6 crystal at the PBE level of DFT.

a b c (Å): 8.391 8.391 8.408
angles (deg): 60.06 60.06 90.00
Sites, in units of the cell vectors:
I 0.253 0.253 0.494
I 0.747 0.747 0.506
I 0.253 0.253 0.000
I 0.747 0.747 0.000
I 0.747 0.253 0.000
I 0.253 0.747 0.000
Ga 0.500 0.500 0.000
Rb 0.750 0.250 0.500
Rb 0.250 0.750 0.500
Cd 0.000 0.000 0.000

Output
Space-group type ... No. 139

***

Entry 23:
Computed, not measured: a relaxed Lu2PaSe crystal at the PBE level of DFT.

a b c (Å): 3.480 3.480 8.230
angles (deg): 90.00 90.00 90.00
Sites, in units of the cell vectors:
Pa 0.500 0.500 0.500
Lu 0.000 0.000 0.784
Lu 0.000 0.000 0.216
Se 0.500 0.500 0.000

Output
Space-group type ... No. 123

***

Entry 24:
Computed, not measured: a relaxed MnGeBiSb2 crystal at the PBE level of DFT.

a b c (Å): 5.171 4.601 5.171
angles (deg): 90.00 90.00 90.00
Sites, in units of the cell vectors:
Sb 0.000 0.000 0.500
Sb 0.500 0.000 0.000
Ge 0.000 0.500 0.000
Mn 0.000 0.000 0.000
Bi 0.500 0.500 0.500

Output
Space-group type ... No. 123

***

Entry 25:
Computed, not measured: a relaxed CoW4Se crystal at the PBE level of DFT.

a b c (Å): 5.283 5.283 5.283
angles (deg): 60.00 60.00 60.00
Sites, in units of the cell vectors:
Co 0.750 0.750 0.750
W 0.874 0.375 0.375
W 0.375 0.375 0.874
W 0.375 0.874 0.375
W 0.375 0.375 0.375
Se 0.000 0.000 0.000

Output
Space-group type ... No. 216

***

Entry 26:
Computed, not measured: a relaxed LaNd2Sn2Hg2 crystal at the PBE level of DFT.

a b c (Å): 5.040 5.040 9.804
angles (deg): 75.11 75.11 60.00
Sites, in units of the cell vectors:
La 0.000 0.000 0.000
Nd 0.131 0.131 0.606
Nd 0.869 0.869 0.394
Sn 0.731 0.731 0.807
Sn 0.269 0.269 0.193
Hg 0.572 0.572 0.283
Hg 0.428 0.428 0.717

Output
Space-group type ... No. 166

***

Taking the records one at a time from the top gives calculated total energy values of -3.902 -4.375 -3.679 -6.982 -4.657 -3.030 -5.416 -2.847 -4.865 -7.129 -7.901 -6.050 -2.112 -5.955 -9.165 -9.050 -6.841 -5.107 -4.029 -5.441 -4.233 -2.356 -6.063 -4.889 -9.404 -3.697 eV/atom.